1.
## MnTcNi2 (PBE)

Data for a geometry-optimized MnTcNi2 structure.

```
MnTcNi2
1.0
2.580 0.000 0.000
0.000 2.580 0.000
0.000 0.000 7.345
Mn Tc Ni
1 1 2
direct
0.000 0.000 0.000
0.000 0.000 0.500
0.500 0.500 0.244
0.500 0.500 0.756
```

Computed properties:
* energy relative to the lowest polymorph listed for this composition: 2.4 kJ/mol of atoms
* formation energy from the elements: 20.9 meV per atom

=====

2.
## Mn2TcNi (PBE)

Data for a geometry-optimized Mn2TcNi structure.

```
Mn2TcNi
1.0
2.895 0.000 0.000
0.000 2.895 0.000
0.000 0.000 5.681
Mn Tc Ni
2 1 1
direct
0.000 0.000 0.000
0.500 0.500 0.178
0.500 0.500 0.716
0.000 0.000 0.436
```

Computed properties:
* formation energy from the elements: 180.0 meV per atom

=====

3.
## MnTcNi2 (PBE)

Data for a geometry-optimized MnTcNi2 structure.

```
MnTcNi2
1.0
4.256 -1.294 0.000
4.256 1.294 0.000
-0.767 0.000 4.435
Mn Tc Ni
1 1 2
direct
0.000 0.000 0.000
0.755 0.755 0.266
0.254 0.254 0.759
0.506 0.506 0.511
```

Computed properties:
* energy relative to the lowest polymorph listed for this composition: 3.1 kJ/mol of atoms
* formation energy from the elements: 27.5 meV per atom

=====

4.
## MnTcNi2 (PBE)

Data for a geometry-optimized MnTcNi2 structure.

```
MnTcNi2
1.0
-1.710 1.710 8.623
1.710 -1.710 8.623
1.710 1.710 -8.623
Mn Tc Ni
2 2 4
direct
0.000 0.000 0.000
0.750 0.250 0.500
0.250 0.750 0.500
0.500 0.500 0.000
0.117 0.625 0.992
0.375 0.367 0.492
0.633 0.125 0.008
0.875 0.883 0.508
```

Computed properties:
* energy relative to the lowest polymorph listed for this composition: 44.9 kJ/mol of atoms
* formation energy from the elements: 460.7 meV per atom

=====

5.
## MnTcNi2 (PBE)

Data for a geometry-optimized MnTcNi2 structure.

```
MnTcNi2
1.0
2.575 0.000 0.000
0.000 2.575 0.000
0.000 0.000 7.309
Mn Tc Ni
1 1 2
direct
0.000 0.000 0.000
0.500 0.500 0.729
0.000 0.000 0.475
0.500 0.500 0.237
```

Computed properties:
* energy relative to the lowest polymorph listed for this composition: 3.6 kJ/mol of atoms
* formation energy from the elements: 32.6 meV per atom

=====

6.
## Mn2TcNi (PBE)

Data for a geometry-optimized Mn2TcNi structure.

```
Mn2TcNi
1.0
1.285 0.742 8.348
-1.285 0.742 8.348
0.000 -1.484 8.348
Mn Tc Ni
2 1 1
direct
0.000 0.000 0.000
0.256 0.256 0.256
0.502 0.502 0.502
0.748 0.748 0.748
```

Computed properties:
* formation energy from the elements: 145.6 meV per atom